# Ba2CuSb | Alexandria via LeMat-Bulk | PBE-GGA | optimized geometry
data_Ba2CuSb
_cell_length_a 4.5830
_cell_length_b 4.5830
_cell_length_c 26.7348
_cell_angle_alpha 90.00
_cell_angle_beta 90.00
_cell_angle_gamma 120.00
_space_group_name_H-M_alt 'R 3 m'
_space_group_IT_number 160
_space_group_name_Hall 'R 3 -2"'
loop_
_atom_site_label
_atom_site_fract_x
_atom_site_fract_y
_atom_site_fract_z
_atom_site_occupancy
Ba1 0.0000 0.0000 0.0000 1
Ba2 0.0000 0.0000 0.1782 1
Cu1 0.0000 0.0000 0.4227 1
Sb1 0.0000 0.0000 0.7560 1
# * ΔE_f (raw): -494 meV/atom
# * electronic total energy: -0.258 Ry per atom